(1)
Here is a relaxed BaSrLu crystal from OQMD via LeMat-Bulk. Energies are from PBE-GGA.

Lattice parameters (Å, degrees): 6.168 6.168 6.168 60.00 60.00 60.00
Sites, in units of the cell vectors:
Ba1 0.250 0.250 0.250
Lu1 0.000 0.000 0.000
Sr1 0.750 0.750 0.750

Calculated values
VASP energy ... -2.03 eV per atom

(2)
Here is a relaxed Sc2Ag2Bi crystal from OQMD via LeMat-Bulk. Energies are from PBE-GGA.

Lattice parameters (Å, degrees): 6.965 6.965 6.965 144.61 144.61 50.91
Sites, in units of the cell vectors:
Ag1 0.750 0.250 0.500
Ag2 0.250 0.750 0.500
Bi1 0.000 0.000 0.000
Sc1 0.391 0.391 0.000
Sc2 0.609 0.609 0.000

Calculated values
VASP energy ... -4.46 eV per atom

(3)
Here is a relaxed Nd3Bi4Ir2 crystal from OQMD via LeMat-Bulk. Energies are from PBE-GGA.

Lattice parameters (Å, degrees): 8.230 8.230 4.119 90.00 90.00 120.00
Sites, in units of the cell vectors:
Bi1 0.239 0.246 0.500
Bi2 0.667 0.333 0.500
Bi3 0.008 0.761 0.500
Bi4 0.754 0.992 0.500
Ir1 0.000 0.000 0.000
Ir2 0.333 0.667 0.500
Nd1 0.034 0.417 0.000
Nd2 0.583 0.617 0.000
Nd3 0.383 0.966 0.000

Calculated values
VASP energy ... -5.88 eV per atom

(4)
Here is a relaxed SrNiH3 crystal from OQMD via LeMat-Bulk. Energies are from PBE-GGA.

Lattice parameters (Å, degrees): 5.167 5.167 5.167 60.00 60.00 60.00
Sites, in units of the cell vectors:
H1 0.751 0.249 0.249
H2 0.249 0.751 0.249
H3 0.751 0.751 0.249
H4 0.249 0.249 0.751
H5 0.751 0.249 0.751
H6 0.249 0.751 0.751
Ni1 0.000 0.000 0.000
Ni2 0.500 0.500 0.500
Sr1 0.250 0.250 0.250
Sr2 0.750 0.750 0.750

Calculated values
VASP energy ... -3.89 eV per atom

(5)
Here is a relaxed Gd2Er2BI5 crystal from OQMD via LeMat-Bulk. Energies are from PBE-GGA.

Lattice parameters (Å, degrees): 10.941 10.941 8.660 101.19 101.19 21.34
Sites, in units of the cell vectors:
B1 0.500 0.500 0.000
Er1 0.616 0.616 0.058
Er2 0.384 0.384 0.942
Gd1 0.000 0.000 0.199
Gd2 0.000 0.000 0.801
I1 0.848 0.848 0.175
I2 0.151 0.151 0.325
I3 0.500 0.500 0.500
I4 0.849 0.849 0.675
I5 0.152 0.152 0.825

Calculated values
VASP energy ... -4.36 eV per atom

(6)
Here is a relaxed LiLuScAu crystal from OQMD via LeMat-Bulk. Energies are from PBE-GGA.

Lattice parameters (Å, degrees): 4.880 4.880 4.880 60.00 60.00 60.00
Sites, in units of the cell vectors:
Au1 0.750 0.750 0.750
Li1 0.250 0.250 0.250
Lu1 0.000 0.000 0.000
Sc1 0.500 0.500 0.500

Calculated values
VASP energy ... -4.44 eV per atom

(7)
Here is a relaxed Hf31SnO64 crystal from OQMD via LeMat-Bulk. Energies are from PBE-GGA.

Lattice parameters (Å, degrees): 9.985 10.091 10.433 89.98 89.97 89.97
Sites, in units of the cell vectors:
Hf1 0.740 0.127 0.107
Hf2 0.740 0.627 0.107
Hf3 0.240 0.623 0.107
Hf4 0.240 0.123 0.107
Hf5 0.510 0.873 0.143
Hf6 0.510 0.373 0.143
Hf7 0.009 0.877 0.143
Hf8 0.010 0.377 0.143
Hf9 0.510 0.622 0.357
Hf10 0.510 0.122 0.357
Hf11 0.010 0.627 0.357
Hf12 0.010 0.127 0.358
Hf13 0.740 0.377 0.392
Hf14 0.240 0.873 0.393
Hf15 0.240 0.373 0.393
Hf16 0.740 0.877 0.394
Hf17 0.240 0.623 0.607
Hf18 0.740 0.626 0.607
Hf19 0.240 0.123 0.607
Hf20 0.510 0.872 0.642
Hf21 0.009 0.877 0.642
Hf22 0.509 0.373 0.643
Hf23 0.011 0.378 0.643
Hf24 0.509 0.122 0.857
Hf25 0.510 0.623 0.857
Hf26 0.010 0.627 0.857
Hf27 0.010 0.128 0.858
Hf28 0.740 0.877 0.892
Hf29 0.240 0.873 0.893
Hf30 0.241 0.373 0.893
Hf31 0.741 0.377 0.893
O1 0.601 0.001 0.005
O2 0.102 0.749 0.006
O3 0.602 0.501 0.006
O4 0.102 0.249 0.006
O5 0.835 0.814 0.062
O6 0.335 0.936 0.063
O7 0.335 0.436 0.063
O8 0.835 0.314 0.063
O9 0.415 0.186 0.187
O10 0.415 0.686 0.187
O11 0.915 0.564 0.187
O12 0.915 0.064 0.188
O13 0.648 0.998 0.244
O14 0.649 0.498 0.244
O15 0.148 0.751 0.244
O16 0.149 0.251 0.245
O17 0.148 0.001 0.256
O18 0.648 0.748 0.256
O19 0.148 0.501 0.256
O20 0.648 0.248 0.256
O21 0.415 0.936 0.312
O22 0.915 0.814 0.313
O23 0.916 0.314 0.313
O24 0.415 0.436 0.313
O25 0.834 0.063 0.437
O26 0.835 0.563 0.437
O27 0.335 0.686 0.437
O28 0.335 0.186 0.438
O29 0.102 0.998 0.494
O30 0.102 0.499 0.494
O31 0.602 0.750 0.494
O32 0.603 0.250 0.495
O33 0.600 0.999 0.505
O34 0.601 0.501 0.505
O35 0.102 0.749 0.506
O36 0.102 0.248 0.506
O37 0.835 0.812 0.563
O38 0.335 0.436 0.563
O39 0.836 0.317 0.563
O40 0.334 0.935 0.563
O41 0.415 0.685 0.687
O42 0.916 0.564 0.688
O43 0.415 0.186 0.688
O44 0.917 0.064 0.688
O45 0.648 0.998 0.743
O46 0.149 0.752 0.744
O47 0.649 0.498 0.744
O48 0.149 0.252 0.745
O49 0.648 0.748 0.756
O50 0.148 0.001 0.756
O51 0.149 0.502 0.756
O52 0.650 0.248 0.757
O53 0.915 0.814 0.812
O54 0.416 0.936 0.813
O55 0.916 0.314 0.813
O56 0.416 0.435 0.813
O57 0.335 0.686 0.937
O58 0.835 0.564 0.937
O59 0.835 0.064 0.938
O60 0.335 0.186 0.938
O61 0.602 0.751 0.994
O62 0.601 0.251 0.994
O63 0.102 0.499 0.994
O64 0.101 0.999 0.994
Sn1 0.743 0.131 0.608

Calculated values
VASP energy ... -10.02 eV per atom

(8)
Here is a relaxed Pm5SiTe4 crystal from OQMD via LeMat-Bulk. Energies are from PBE-GGA.

Lattice parameters (Å, degrees): 7.689 7.689 7.689 99.50 99.50 132.06
Sites, in units of the cell vectors:
Pm1 0.500 0.500 0.000
Pm2 0.275 0.905 0.180
Pm3 0.095 0.275 0.369
Pm4 0.905 0.725 0.631
Pm5 0.725 0.095 0.820
Si1 0.000 0.000 0.000
Te1 0.805 0.407 0.212
Te2 0.593 0.805 0.398
Te3 0.407 0.195 0.602
Te4 0.195 0.593 0.788

Calculated values
VASP energy ... -5.51 eV per atom